Crystalline Mg4CuAg2 at its relaxed geometry, computed with PBE.

The space group is R-3m (No. 166, hexagonal axes) and the conventional cell measures 4.6578, 4.6578 and 21.8170 Å, with angles of 90.00, 90.00 and 120.00 degrees. Symmetry generates all atoms from Mg at (0.0000, 0.0000, 0.1198), Mg at (0.0000, 0.0000, 0.3733), Cu at (0.0000, 0.0000, 0.5000) and Ag at (0.0000, 0.0000, 0.2458).

Its total energy is -0.1784 Ry/atom. The calculated density is 4576 kg/m3. As for the formation enthalpy at 0 K: -0.12 eV/atom.



Crystalline K2UTeS5 at its relaxed geometry, computed with PBE.

The space group is Cmc2_1 (No. 36) and the conventional cell measures 4.019, 20.070 and 12.737 Å, with angles of 90.00, 90.00 and 90.00 degrees. Symmetry generates all atoms from K at (0.000, 0.121, 0.000), K at (0.000, 0.127, 0.544), U at (0.000, 0.233, 0.271), Te at (0.000, 0.491, 0.243), S at (0.000, 0.109, 0.276), S at (0.000, 0.269, 0.904), S at (0.000, 0.274, 0.640), S at (0.000, 0.364, 0.272) and S at (0.000, 0.497, 0.059).

Its total energy is -0.3710 Ry/atom. The calculation puts the uncorrected formation energy at -788.3 kJ/mol of formula units. The calculated density is 3906 kg/m3.



Crystalline OsSe2IN at its relaxed geometry, computed with PBE.

The space group is P4/mmm (No. 123) and the conventional cell measures 5.193, 5.193 and 3.741 Å, with angles of 90.00, 90.00 and 90.00 degrees. Symmetry generates all atoms from Os at (0.000, 0.000, 0.000), Se at (0.000, 0.500, 0.000), I at (0.500, 0.500, 0.500) and N at (0.000, 0.000, 0.500).

Its total energy is -0.3757 Ry/atom. The calculation puts the uncorrected formation energy at 242.9 kJ/mol of formula units. The calculation puts the energy above the most stable polymorph in this dataset at 0.0 kJ per mole of atoms. The calculated density is 8051 kg/m3.



Crystalline Pr12Tm7Cd at its relaxed geometry, computed with PBE.

The space group is Im-3 (No. 204) and the conventional cell measures 11.535, 11.535 and 11.535 Å, with angles of 90.00, 90.00 and 90.00 degrees. Symmetry generates all atoms from Pr at (0.000, 0.279, 0.216), Tm at (0.000, 0.000, 0.500), Tm at (0.250, 0.250, 0.250) and Cd at (0.000, 0.000, 0.000).

Its total energy is -0.2791 Ry/atom. The calculated density is 6461 kg/m3. As for the formation enthalpy at 0 K: 0.68 eV/atom.



Crystalline Li5GaSn3 at its relaxed geometry, computed with PBE.

The space group is C2/m (No. 12) and the conventional cell measures 13.379, 10.154 and 9.349 Å, with angles of 90.00, 133.88 and 90.00 degrees. Symmetry generates all atoms from Li at (0.000, 0.233, 0.000), Li at (0.088, 0.236, 0.432), Li at (0.246, 0.000, 0.904), Li at (0.250, 0.000, 0.258), Ga at (0.238, 0.500, 0.419), Sn at (0.000, 0.000, 0.500), Sn at (0.000, 0.500, 0.000), Sn at (0.003, 0.000, 0.171) and Sn at (0.014, 0.500, 0.676).

Its total energy is -0.2100 Ry/atom. The calculated density is 3342 kg/m3. As for the formation enthalpy at 0 K: -0.12 eV/atom.



Crystalline NaTcSb2 at its relaxed geometry, computed with PBE.

The space group is R3m (No. 160, hexagonal axes) and the conventional cell measures 3.4309, 3.4309 and 27.0577 Å, with angles of 90.00, 90.00 and 120.00 degrees. Symmetry generates all atoms from Na at (0.0000, 0.0000, 0.0000), Tc at (0.0000, 0.0000, 0.8344), Sb at (0.0000, 0.0000, 0.2369) and Sb at (0.0000, 0.0000, 0.4318).

Its total energy is -0.3707 Ry/atom. The calculation puts the uncorrected formation energy at -23.5 kJ/mol of formula units. The calculation puts the energy above the most stable polymorph in this dataset at 9.4 kJ per mole of atoms. The calculated density is 6583 kg/m3.